[1]
8
Lattice="9.665 0.000 0.000 0.000 3.389 0.000 -2.483 0.000 5.346" Properties=species:S:1:pos:R:3 comment="Mg2BePb (PBE, optimized geometry)" polymorph_energy_mev_per_atom=152 dos_at_fermi_per_ev_atom=0.345 formation_energy_kcal_per_mol_atoms=6.4 pbc="T T T"
Mg 0.000 0.000 0.000
Mg 0.303 0.000 3.574
Mg 4.833 1.694 0.000
Mg 5.136 1.694 3.574
Be 3.033 0.000 3.442
Be 7.865 1.694 3.442
Pb 2.216 1.694 1.485
Pb 7.048 0.000 1.485

---

[2]
5
Lattice="5.440 0.000 0.000 0.000 5.440 0.000 0.000 0.000 5.440" Properties=species:S:1:pos:R:3 comment="La3TiTe (PBE, optimized geometry)" polymorph_energy_mev_per_atom=0 dos_at_fermi_per_ev_atom=0.869 pbc="T T T"
La 0.000 0.000 2.720
La 0.000 2.720 0.000
La 2.720 0.000 0.000
Ti 0.000 0.000 0.000
Te 2.720 2.720 2.720

---

[3]
11
Lattice="3.080 -5.050 0.000 3.080 5.050 0.000 -2.541 0.000 7.004" Properties=species:S:1:pos:R:3 comment="Cs2UCd2O6 (PBE, optimized geometry)" dos_at_fermi_per_ev_atom=0.000 pbc="T T T"
Cs 3.080 3.280 0.000
Cs 3.080 -3.280 0.000
U -1.271 0.000 3.502
Cd 1.810 1.656 3.502
Cd 1.810 -1.656 3.502
O -0.472 1.528 4.702
O 0.606 0.000 2.400
O -0.472 -1.528 4.702
O 4.091 1.528 2.302
O 3.013 0.000 4.604
O 4.091 -1.528 2.302

---

[4]
12
Lattice="4.789 0.000 0.000 -2.395 4.148 0.000 0.000 0.000 7.743" Properties=species:S:1:pos:R:3 comment="NbCo2 (PBE, optimized geometry)" dos_at_fermi_per_ev_atom=1.235 formation_energy_kcal_per_mol_atoms=-3.7 pbc="T T T"
Nb 0.000 2.765 0.491
Nb 0.000 2.765 3.380
Nb 2.395 1.383 4.363
Nb 2.395 1.383 7.252
Co 0.000 0.000 0.000
Co 0.000 0.000 3.872
Co 0.000 1.401 5.808
Co -1.181 3.447 5.808
Co 1.213 0.700 1.936
Co 1.181 3.447 5.808
Co 3.576 0.700 1.936
Co 2.395 2.747 1.936

---

[5]
5
Lattice="6.387 0.000 0.000 0.000 6.387 0.000 0.000 0.000 4.831" Properties=species:S:1:pos:R:3 comment="CsBi2TeF (PBE, optimized geometry)" dos_at_fermi_per_ev_atom=0.702 pbc="T T T"
Cs 0.000 0.000 0.000
Bi 0.000 3.193 0.000
Bi 3.193 0.000 0.000
Te 3.193 3.193 2.415
F 0.000 0.000 2.415

---

[6]
8
Lattice="7.344 0.000 0.000 0.000 4.243 0.000 -2.441 0.000 6.930" Properties=species:S:1:pos:R:3 comment="AcTbY2As4 (PBE, optimized geometry)" dos_at_fermi_per_ev_atom=0.106 formation_energy_kcal_per_mol_atoms=-34.4 pbc="T T T"
Ac 0.000 0.000 0.000
Tb -1.221 2.121 3.465
Y 2.451 0.000 3.465
Y 3.672 2.121 0.000
As 0.079 0.000 5.149
As 1.302 2.121 1.838
As 3.601 2.121 5.092
As 4.824 0.000 1.781

---

[7]
Below is an optimized crystal structure of Rb4Nd3AlSe8, with properties calculated at the PBE level.

```
16
Lattice="4.276 2.469 8.017 -4.276 2.469 8.017 0.000 -4.938 8.017" Properties=species:S:1:pos:R:3 pbc="T T T"
Rb 0.000 0.000 0.000
Rb -2.138 -1.234 8.017
Rb -2.138 1.234 16.033
Rb 0.000 2.469 8.017
Nd -4.276 0.000 12.025
Nd -2.138 1.234 4.008
Nd 2.138 1.234 4.008
Al 0.000 0.000 12.025
Se 0.000 0.000 5.645
Se -1.960 -1.131 13.549
Se 0.000 -2.263 10.502
Se -1.960 1.131 10.502
Se 1.960 -1.131 13.549
Se 0.000 2.263 13.549
Se 1.960 1.131 10.502
Se 0.000 0.000 18.405
```

---

[8]
12
Lattice="2.852 0.000 0.000 -1.426 2.470 0.000 0.000 0.000 29.445" Properties=species:S:1:pos:R:3 comment="KRe2Si (PBE, optimized geometry)" dos_at_fermi_per_ev_atom=1.156 pbc="T T T"
K 0.000 0.000 0.000
K 0.000 1.647 19.630
K 1.426 0.823 9.815
Re 0.000 0.000 6.829
Re 0.000 0.000 22.616
Re 0.000 1.647 12.801
Re 0.000 1.647 26.459
Re 1.426 0.823 2.986
Re 1.426 0.823 16.644
Si 0.000 0.000 14.722
Si 0.000 1.647 4.907
Si 1.426 0.823 24.537

---

[9]
12
Lattice="15.848 0.000 0.000 0.000 4.326 0.000 -1.780 0.000 6.963" Properties=species:S:1:pos:R:3 comment="KAcPd (PBE, optimized geometry)" dos_at_fermi_per_ev_atom=0.856 formation_energy_kcal_per_mol_atoms=-2.9 pbc="T T T"
K 1.944 0.000 2.346
K 4.199 2.163 4.617
K 9.868 2.163 2.346
K 12.123 0.000 4.617
Ac 0.046 2.163 5.665
Ac 6.097 0.000 1.298
Ac 7.970 0.000 5.665
Ac 14.021 2.163 1.298
Pd 1.945 0.000 6.053
Pd 4.198 2.163 0.910
Pd 9.869 2.163 6.053
Pd 12.122 0.000 0.910

---

[10]
5
Lattice="4.629 0.000 0.000 0.000 4.629 0.000 0.000 0.000 5.103" Properties=species:S:1:pos:R:3 comment="Ti2SbRhAu (PBE, optimized geometry)" dos_at_fermi_per_ev_atom=0.946 pbc="T T T"
Ti 0.000 2.314 0.000
Ti 2.314 0.000 0.000
Sb 0.000 0.000 2.552
Rh 2.314 2.314 0.000
Au 2.314 2.314 2.552

---

[11]
12
Lattice="4.673 0.000 0.000 -2.337 4.047 0.000 0.000 0.000 7.788" Properties=species:S:1:pos:R:3 comment="Fe8MoW3 (PBE, optimized geometry)" dos_at_fermi_per_ev_atom=0.963 formation_energy_kcal_per_mol_atoms=-0.5 pbc="T T T"
Fe 0.000 0.000 0.000
Fe 0.000 0.000 3.891
Fe 0.000 1.380 1.947
Fe -1.142 3.357 1.947
Fe 1.194 0.689 5.839
Fe 1.142 3.357 1.947
Fe 3.479 0.689 5.839
Fe 2.337 2.669 5.839
Mo 2.337 1.349 0.542
W 0.000 2.698 4.435
W 0.000 2.698 7.251
W 2.337 1.349 3.353

---

[12]
6
Lattice="3.865 0.000 0.000 0.000 3.865 0.000 0.000 0.000 13.023" Properties=species:S:1:pos:R:3 comment="AcPmAg (PBE, optimized geometry)" polymorph_energy_mev_per_atom=0 dos_at_fermi_per_ev_atom=1.302 formation_energy_kcal_per_mol_atoms=-3.1 pbc="T T T"
Ac 0.000 0.000 0.000
Ac 1.933 1.933 6.512
Pm 0.000 0.000 3.790
Pm 1.933 1.933 10.302
Ag 0.000 0.000 8.644
Ag 1.933 1.933 2.132

---

[13]
8
Lattice="4.802 0.000 0.000 0.000 4.802 0.000 0.000 0.000 9.613" Properties=species:S:1:pos:R:3 comment="Dy6AlTl (PBE, optimized geometry)" dos_at_fermi_per_ev_atom=1.457 formation_energy_kcal_per_mol_atoms=-4.3 pbc="T T T"
Dy 0.000 0.000 0.000
Dy 0.000 0.000 4.807
Dy 0.000 2.401 2.320
Dy 0.000 2.401 7.293
Dy 2.401 0.000 2.320
Dy 2.401 0.000 7.293
Al 2.401 2.401 0.000
Tl 2.401 2.401 4.807

---

[14]
8
Lattice="2.854 0.000 0.000 0.000 4.456 0.000 0.000 0.000 9.034" Properties=species:S:1:pos:R:3 comment="ReRu2Cl (PBE, optimized geometry)" polymorph_energy_mev_per_atom=477 dos_at_fermi_per_ev_atom=1.103 pbc="T T T"
Re 0.000 0.000 0.000
Re 1.427 2.228 4.517
Ru 0.000 0.000 4.906
Ru 0.000 2.228 6.863
Ru 1.427 0.000 2.346
Ru 1.427 2.228 0.390
Cl 0.000 2.228 2.482
Cl 1.427 0.000 6.999

---

[15]
12
Lattice="-3.252 3.252 3.186 3.252 -3.252 3.186 3.252 3.252 -3.186" Properties=species:S:1:pos:R:3 comment="Li4HN (PBE, optimized geometry)" polymorph_energy_mev_per_atom=66 dos_at_fermi_per_ev_atom=0.000 pbc="T T T"
Li 0.000 1.237 0.000
Li 1.946 0.000 1.336
Li 4.558 0.000 1.336
Li 3.252 1.946 -0.257
Li 0.000 1.306 2.929
Li -1.237 3.252 1.593
Li 1.237 3.252 1.593
Li 0.000 5.266 0.000
H 3.252 0.000 3.150
H 0.000 0.000 4.743
N 0.000 0.000 1.500
N 0.000 3.252 3.093

---

[16]
4
Lattice="5.068 0.000 0.000 0.000 5.068 0.000 0.000 0.000 2.959" Properties=species:S:1:pos:R:3 comment="UTiNb2 (PBE, optimized geometry)" polymorph_energy_mev_per_atom=127 dos_at_fermi_per_ev_atom=1.981 formation_energy_kcal_per_mol_atoms=4.5 pbc="T T T"
U 0.000 0.000 0.000
Ti 2.534 2.534 0.000
Nb 0.000 2.534 1.479
Nb 2.534 0.000 1.479

---

[17]
18
Lattice="12.463 0.000 0.000 0.000 3.453 0.000 0.000 0.000 7.024" Properties=species:S:1:pos:R:3 comment="HfReGe (PBE, optimized geometry)" polymorph_energy_mev_per_atom=0 dos_at_fermi_per_ev_atom=0.264 formation_energy_kcal_per_mol_atoms=-10.3 pbc="T T T"
Hf 0.583 0.000 1.672
Hf 3.116 0.000 4.643
Hf 5.648 0.000 1.672
Hf 6.814 0.000 5.352
Hf 9.347 0.000 2.381
Hf 11.880 0.000 5.352
Re 1.493 1.726 6.510
Re 3.116 1.726 2.192
Re 4.739 1.726 6.510
Re 7.724 1.726 0.514
Re 9.347 1.726 4.832
Re 10.970 1.726 0.514
Ge 1.179 1.726 3.914
Ge 3.116 0.000 0.373
Ge 5.052 1.726 3.914
Ge 7.411 1.726 3.110
Ge 9.347 0.000 6.651
Ge 11.283 1.726 3.110

---

[18]
12
Lattice="2.710 0.000 0.000 -1.355 2.347 0.000 0.000 0.000 19.718" Properties=species:S:1:pos:R:3 comment="Co2AgH (PBE, optimized geometry)" polymorph_energy_mev_per_atom=0 dos_at_fermi_per_ev_atom=0.919 pbc="T T T"
Co 0.000 0.000 0.000
Co 0.000 0.000 4.627
Co 0.000 1.565 13.145
Co 0.000 1.565 17.772
Co 1.355 0.782 6.573
Co 1.355 0.782 11.200
Ag 0.000 0.000 8.885
Ag 0.000 1.565 2.313
Ag 1.355 0.782 15.458
H 0.000 0.000 12.178
H 0.000 1.565 5.605
H 1.355 0.782 18.750

---

[19]
4
Lattice="3.891 0.000 0.000 0.000 3.891 0.000 0.000 0.000 6.638" Properties=species:S:1:pos:R:3 comment="Y2ZrTa (PBE, optimized geometry)" polymorph_energy_mev_per_atom=288 dos_at_fermi_per_ev_atom=1.603 formation_energy_kcal_per_mol_atoms=10.4 pbc="T T T"
Y 0.000 0.000 1.545
Y 0.000 0.000 5.093
Zr 1.946 1.946 3.319
Ta 1.946 1.946 0.000

---

[20]
12
Lattice="8.496 -1.942 0.000 8.496 1.942 0.000 -1.811 0.000 7.619" Properties=species:S:1:pos:R:3 comment="CeHo2Er3S6 (PBE, optimized geometry)" dos_at_fermi_per_ev_atom=0.778 pbc="T T T"
Ce 0.000 0.000 0.000
Ho 4.483 0.000 5.113
Ho 10.698 0.000 2.506
Er -0.905 0.000 3.809
Er 5.404 0.000 1.258
Er 9.776 0.000 6.361
S 1.786 0.000 4.452
S 2.760 0.000 0.643
S 8.022 0.000 1.986
S 7.159 0.000 5.633
S 12.421 0.000 6.976
S 13.395 0.000 3.167

---

[21]
16
Lattice="5.903 0.000 0.000 0.000 5.903 0.000 0.000 0.000 5.903" Properties=species:S:1:pos:R:3 comment="Li2OsPd (PBE, optimized geometry)" polymorph_energy_mev_per_atom=400 dos_at_fermi_per_ev_atom=1.557 formation_energy_kcal_per_mol_atoms=10.3 pbc="T T T"
Li 1.476 1.476 1.476
Li 1.476 1.476 4.427
Li 1.476 4.427 1.476
Li 1.476 4.427 4.427
Li 4.427 1.476 1.476
Li 4.427 1.476 4.427
Li 4.427 4.427 1.476
Li 4.427 4.427 4.427
Os 0.000 0.000 0.000
Os 0.000 2.951 2.951
Os 2.951 0.000 2.951
Os 2.951 2.951 0.000
Pd 0.000 0.000 2.951
Pd 0.000 2.951 0.000
Pd 2.951 0.000 0.000
Pd 2.951 2.951 2.951

---

[22]
10
Lattice="3.602 0.000 0.000 0.000 3.602 0.000 0.000 0.000 18.137" Properties=species:S:1:pos:R:3 comment="Tb5Al4Zn (PBE, optimized geometry)" dos_at_fermi_per_ev_atom=0.462 formation_energy_kcal_per_mol_atoms=-9.0 pbc="T T T"
Tb 0.000 0.000 0.000
Tb 0.000 0.000 3.637
Tb 0.000 0.000 7.304
Tb 0.000 0.000 10.832
Tb 0.000 0.000 14.499
Al 1.801 1.801 1.815
Al 1.801 1.801 5.480
Al 1.801 1.801 12.657
Al 1.801 1.801 16.321
Zn 1.801 1.801 9.068

---

[23]
16
Lattice="6.617 0.000 0.000 0.000 6.617 0.000 0.000 0.000 6.617" Properties=species:S:1:pos:R:3 comment="YTiCr2 (PBE, optimized geometry)" polymorph_energy_mev_per_atom=0 dos_at_fermi_per_ev_atom=0.946 formation_energy_kcal_per_mol_atoms=9.7 pbc="T T T"
Y 0.000 0.000 0.000
Y 0.000 3.308 3.308
Y 3.308 0.000 3.308
Y 3.308 3.308 0.000
Ti 0.000 0.000 3.308
Ti 0.000 3.308 0.000
Ti 3.308 0.000 0.000
Ti 3.308 3.308 3.308
Cr 1.654 1.654 1.654
Cr 1.654 1.654 4.963
Cr 1.654 4.963 1.654
Cr 1.654 4.963 4.963
Cr 4.963 1.654 1.654
Cr 4.963 1.654 4.963
Cr 4.963 4.963 1.654
Cr 4.963 4.963 4.963

---

[24]
8
Lattice="4.008 0.000 0.000 0.000 4.008 0.000 0.000 0.000 8.182" Properties=species:S:1:pos:R:3 comment="YZnFe2 (PBE, optimized geometry)" dos_at_fermi_per_ev_atom=1.149 formation_energy_kcal_per_mol_atoms=5.2 pbc="T T T"
Y 0.000 0.000 0.000
Y 2.004 2.004 4.091
Zn 0.000 0.000 4.091
Zn 2.004 2.004 0.000
Fe 0.000 2.004 2.045
Fe 0.000 2.004 6.136
Fe 2.004 0.000 2.045
Fe 2.004 0.000 6.136

---

[25]
12
Lattice="5.718 0.000 0.000 -2.859 4.952 0.000 0.000 0.000 6.337" Properties=species:S:1:pos:R:3 comment="SrBiPt2O8 (PBE, optimized geometry)" dos_at_fermi_per_ev_atom=0.422 pbc="T T T"
Sr 0.000 0.000 0.000
Bi 0.000 0.000 3.169
Pt 0.000 3.301 6.008
Pt 2.859 1.651 0.329
O -0.838 2.002 1.002
O 0.000 3.301 4.068
O -0.705 4.677 1.002
O 1.315 1.727 5.335
O 1.544 3.224 1.002
O 3.564 0.275 5.335
O 2.859 1.651 2.269
O 3.697 2.949 5.335

---

| no. | electronic total energy (eV per atom) |
| --- | --- |
| 1 | -2.3772 |
| 2 | -5.2323 |
| 3 | -5.9795 |
| 4 | -8.2539 |
| 5 | -2.4851 |
| 6 | -6.5240 |
| 7 | -4.6013 |
| 8 | -7.2025 |
| 9 | -3.5941 |
| 10 | -5.8706 |
| 11 | -9.8064 |
| 12 | -4.0393 |
| 13 | -4.4012 |
| 14 | -7.4338 |
| 15 | -3.5396 |
| 16 | -9.6350 |
| 17 | -9.4510 |
| 18 | -4.8995 |
| 19 | -7.8807 |
| 20 | -6.4416 |
| 21 | -4.6181 |
| 22 | -4.3287 |
| 23 | -7.9814 |
| 24 | -5.9418 |
| 25 | -4.9537 |